(1)
# PBE BaMoRu2, relaxed
data_BaMoRu2
_cell_length_a 6.7331
_cell_length_b 6.7331
_cell_length_c 6.7331
_cell_angle_alpha 90.00
_cell_angle_beta 90.00
_cell_angle_gamma 90.00
_space_group_name_H-M_alt 'F m -3 m'
_space_group_IT_number 225
_space_group_name_Hall '-F 4 2 3'
loop_
_atom_site_label
_atom_site_type_symbol
_atom_site_fract_x
_atom_site_fract_y
_atom_site_fract_z
_atom_site_occupancy
Ba1 Ba 0.0000 0.0000 0.0000 1
Mo1 Mo 0.0000 0.0000 0.5000 1
Ru1 Ru 0.2500 0.2500 0.2500 1
# * ΔH_f (0 K): 1057 meV/atom
# * distance to the lowest polymorph of the same formula: 0.6349 eV per atom
# * N(E_F): 0.563 states/eV/atom

=====

(2)
# PBE BaTi2MoRu, relaxed
data_BaTi2MoRu
_cell_length_a 4.8943
_cell_length_b 4.8943
_cell_length_c 4.9085
_cell_angle_alpha 90.00
_cell_angle_beta 90.00
_cell_angle_gamma 90.00
_space_group_name_H-M_alt 'P 4/m m m'
_space_group_IT_number 123
_space_group_name_Hall '-P 4 2'
loop_
_atom_site_label
_atom_site_type_symbol
_atom_site_fract_x
_atom_site_fract_y
_atom_site_fract_z
_atom_site_occupancy
Ba1 Ba 0.0000 0.0000 0.0000 1
Ti1 Ti 0.0000 0.5000 0.5000 1
Mo1 Mo 0.5000 0.5000 0.5000 1
Ru1 Ru 0.5000 0.5000 0.0000 1
# * ΔH_f (0 K): 695 meV/atom
# * N(E_F): 0.994 states/eV/atom

=====

(3)
# PBE BaZnMo2Ru, relaxed
data_BaZnMo2Ru
_cell_length_a 4.7455
_cell_length_b 4.7455
_cell_length_c 6.0500
_cell_angle_alpha 90.00
_cell_angle_beta 90.00
_cell_angle_gamma 90.00
_space_group_name_H-M_alt 'P 4/m m m'
_space_group_IT_number 123
_space_group_name_Hall '-P 4 2'
loop_
_atom_site_label
_atom_site_type_symbol
_atom_site_fract_x
_atom_site_fract_y
_atom_site_fract_z
_atom_site_occupancy
Ba1 Ba 0.0000 0.0000 0.0000 1
Zn1 Zn 0.5000 0.5000 0.0000 1
Mo1 Mo 0.0000 0.5000 0.5000 1
Ru1 Ru 0.0000 0.0000 0.5000 1
# * ΔH_f (0 K): 1349 meV/atom
# * N(E_F): 1.279 states/eV/atom

=====

(4)
# PBE BaMo3S, relaxed
data_BaMo3S
_cell_length_a 5.0116
_cell_length_b 5.0116
_cell_length_c 5.0116
_cell_angle_alpha 90.00
_cell_angle_beta 90.00
_cell_angle_gamma 90.00
_space_group_name_H-M_alt 'P m -3 m'
_space_group_IT_number 221
_space_group_name_Hall '-P 4 2 3'
loop_
_atom_site_label
_atom_site_type_symbol
_atom_site_fract_x
_atom_site_fract_y
_atom_site_fract_z
_atom_site_occupancy
Ba1 Ba 0.0000 0.0000 0.0000 1
Mo1 Mo 0.0000 0.0000 0.5000 1
S1 S 0.5000 0.5000 0.5000 1
# * E_form (uncorrected): 3.33 eV/atom
# * distance to the lowest polymorph of the same formula: 2.5255 eV per atom
# * N(E_F): 1.732 states/eV/atom

=====

(5)
# PBE BaMo3S, relaxed
data_BaMo3S
_cell_length_a 4.6765
_cell_length_b 4.6765
_cell_length_c 4.6765
_cell_angle_alpha 90.00
_cell_angle_beta 90.00
_cell_angle_gamma 90.00
_space_group_name_H-M_alt 'P m -3 m'
_space_group_IT_number 221
_space_group_name_Hall '-P 4 2 3'
loop_
_atom_site_label
_atom_site_type_symbol
_atom_site_fract_x
_atom_site_fract_y
_atom_site_fract_z
_atom_site_occupancy
Ba1 Ba 0.0000 0.0000 0.0000 1
Mo1 Mo 0.0000 0.5000 0.5000 1
S1 S 0.5000 0.5000 0.5000 1
# * E_form (uncorrected): 0.80 eV/atom
# * distance to the lowest polymorph of the same formula: 0.0000 eV per atom
# * N(E_F): 1.174 states/eV/atom

=====

(6)
# PBE Ba3MoS, relaxed
data_Ba3MoS
_cell_length_a 6.1036
_cell_length_b 6.1036
_cell_length_c 6.1036
_cell_angle_alpha 90.00
_cell_angle_beta 90.00
_cell_angle_gamma 90.00
_space_group_name_H-M_alt 'P m -3 m'
_space_group_IT_number 221
_space_group_name_Hall '-P 4 2 3'
loop_
_atom_site_label
_atom_site_type_symbol
_atom_site_fract_x
_atom_site_fract_y
_atom_site_fract_z
_atom_site_occupancy
Ba1 Ba 0.0000 0.0000 0.5000 1
Mo1 Mo 0.5000 0.5000 0.5000 1
S1 S 0.0000 0.0000 0.0000 1
# * E_form (uncorrected): 0.05 eV/atom
# * distance to the lowest polymorph of the same formula: 0.0000 eV per atom
# * N(E_F): 1.473 states/eV/atom

=====

(7)
# PBE BaMo2S2, relaxed
data_BaMo2S2
_cell_length_a 4.7727
_cell_length_b 4.7727
_cell_length_c 8.8932
_cell_angle_alpha 90.00
_cell_angle_beta 90.00
_cell_angle_gamma 90.00
_space_group_name_H-M_alt 'I 4/m m m'
_space_group_IT_number 139
_space_group_name_Hall '-I 4 2'
loop_
_atom_site_label
_atom_site_type_symbol
_atom_site_fract_x
_atom_site_fract_y
_atom_site_fract_z
_atom_site_occupancy
Ba1 Ba 0.0000 0.0000 0.0000 1
Mo1 Mo 0.0000 0.0000 0.3719 1
S1 S 0.0000 0.5000 0.2500 1
# * E_form (uncorrected): -0.39 eV/atom
# * distance to the lowest polymorph of the same formula: 0.0000 eV per atom
# * N(E_F): 0.874 states/eV/atom

=====

(8)
# PBE BaMoS2, relaxed
data_BaMoS2
_cell_length_a 5.9635
_cell_length_b 5.9635
_cell_length_c 12.6654
_cell_angle_alpha 90.00
_cell_angle_beta 90.00
_cell_angle_gamma 90.00
_space_group_name_H-M_alt 'I -4 2 d'
_space_group_IT_number 122
_space_group_name_Hall 'I -4 2bw'
loop_
_atom_site_label
_atom_site_type_symbol
_atom_site_fract_x
_atom_site_fract_y
_atom_site_fract_z
_atom_site_occupancy
Ba1 Ba 0.0000 0.0000 0.0000 1
Mo1 Mo 0.0000 0.0000 0.5000 1
S1 S 0.1300 0.2500 0.6250 1
# * E_form (uncorrected): -0.79 eV/atom
# * distance to the lowest polymorph of the same formula: 0.0000 eV per atom
# * N(E_F): 0.377 states/eV/atom